No. 1
Entry from Alexandria: an optimized crystal structure of K2SrMnHg (GGA-PBEsol).

Structure (POSCAR):
```
K2SrMnHg
1.0
6.2212 0.0000 0.0000
0.0000 6.2212 0.0000
0.0000 0.0000 6.0756
K Sr Mn Hg
2 1 1 1
Cartesian
0.0000 3.1106 0.0000
3.1106 0.0000 0.0000
0.0000 0.0000 3.0378
0.0000 0.0000 0.0000
3.1106 3.1106 3.0378
```

Properties
For the magnetization, the calculation gives 4.0 μB/f.u. Its space group is No. 123. Its total energy is -0.0788 Ha/atom.

No. 2
Entry from Alexandria: an optimized crystal structure of Na4NiP2O7F2 (GGA-PBEsol).

Structure (POSCAR):
```
Na4NiP2O7F2
1.0
-3.5049 7.5151 3.8704
3.5049 -7.5151 3.8704
3.5049 7.5151 -3.8704
Na Ni P O F
8 2 4 14 4
Cartesian
0.0000 2.0866 0.3748
1.7524 7.2628 -1.9352
1.7524 -0.2523 1.9352
0.0000 5.4284 0.3748
3.5049 2.0866 3.4956
-1.7524 7.7673 1.9352
1.7524 7.7673 1.9352
3.5049 5.4284 3.4956
1.7524 3.7575 -1.9352
1.7524 -3.7575 1.9352
3.5049 2.2996 0.2262
3.5049 5.2154 0.2262
0.0000 2.2996 3.6442
0.0000 5.2154 3.6442
2.2250 2.2546 -0.6205
4.7847 2.2546 -0.6205
3.5049 1.2744 1.3404
2.2250 5.2605 -0.6205
1.2799 -2.2546 3.2500
3.5049 3.7575 0.9986
0.0000 1.2744 2.5300
3.5049 6.2407 1.3404
0.0000 3.7575 2.8719
2.2250 9.7697 0.6205
1.2799 2.2546 4.4909
0.0000 6.2407 2.5300
-1.2799 5.2605 4.4909
1.2799 5.2605 4.4909
0.0000 0.0000 0.0000
3.5049 -3.7575 2.8418
0.0000 7.5151 0.0000
0.0000 11.2726 1.0286
```

Properties
The value obtained for the formation energy (no corrections) is -2.17 eV/atom. For the magnetization, the calculation gives 2.0 μB/f.u. Its space group is No. 74. Its total energy is -0.2266 Ha/atom.